A plane-wave DFT calculation with GGA-PBE was carried out for a relaxed Pa12Tc6Ru crystal.

It has space group R-3 (No. 148, hexagonal axes), with a = 11.6784 Å, b = 11.6784 Å, c = 11.6954 Å, α = 90.00°, β = 90.00° and γ = 120.00°. The distinct sites, in fractional coordinates, are Pa at (0.0219, 0.1921, 0.3805), Pa at (0.0634, 0.2104, 0.8667), Tc at (0.0335, 0.2733, 0.6281) and Ru at (0.0000, 0.0000, 0.0000).

The calculation puts the energy of formation at 0.05 eV per atom.